Ho2SiRu2 PBE-GGA optimized geometry; E_form (uncorrected) = -0.623 eV per atom; SG = C2/c; crystal system = monoclinic
1.0
5.063 -2.725 0.000
5.063 2.725 0.000
-1.614 0.000 7.102
Ho Si Ru
4 2 4
direct
0.000 0.285 0.142 Ho
0.000 0.715 0.858 Ho
0.285 0.000 0.642 Ho
0.715 0.000 0.358 Ho
0.402 0.598 0.250 Si
0.598 0.402 0.750 Si
0.223 0.511 0.487 Ru
0.489 0.777 0.013 Ru
0.511 0.223 0.987 Ru
0.777 0.489 0.513 Ru

***

Hf3Nb2Ge4 PBE-GGA optimized geometry; energy of formation from the pure elements = -396 meV/atom; SG = C2/m; crystal system = monoclinic
1.0
4.945 -1.904 0.000
4.945 1.904 0.000
-0.070 0.000 8.949
Hf Nb Ge
3 2 4
direct
0.000 0.000 0.000 Hf
0.350 0.350 0.408 Hf
0.650 0.650 0.592 Hf
0.335 0.335 0.798 Nb
0.665 0.665 0.202 Nb
0.067 0.067 0.374 Ge
0.338 0.338 0.109 Ge
0.662 0.662 0.891 Ge
0.933 0.933 0.626 Ge

***

Na2In2PbO6 PBE-GGA optimized geometry; E_form (uncorrected) = -1.419 eV per atom; SG = C2/m; crystal system = monoclinic
1.0
2.871 -4.955 0.000
2.871 4.955 0.000
-1.922 0.000 5.647
Na In Pb O
2 2 1 6
direct
0.171 0.829 0.000 Na
0.829 0.171 0.000 Na
0.335 0.665 0.500 In
0.665 0.335 0.500 In
0.000 0.000 0.500 Pb
0.059 0.401 0.706 O
0.258 0.258 0.297 O
0.401 0.059 0.706 O
0.599 0.941 0.294 O
0.742 0.742 0.703 O
0.941 0.599 0.294 O